[1]
The following is a PBE calculation of an optimized crystal structure of Be3Tc5, from Alexandria.

Cell lengths 6.8418, 6.8418, 6.8397 Å; angles 96.71, 96.71, 140.00 degrees
Fractional coordinates of all 16 atoms:
1 Be 0.8298 0.3302 0.1604
2 Be 0.7497 0.7499 0.0000
3 Be 0.1693 0.6697 0.8396
4 Be 0.2495 0.2501 0.0000
5 Be 0.3302 0.1695 0.5000
6 Be 0.6691 0.8307 0.5000
7 Tc 0.7500 0.2504 0.5005
8 Tc 0.2236 0.9253 0.1482
9 Tc 0.4249 0.7240 0.1481
10 Tc 0.5743 0.2760 0.8518
11 Tc 0.9236 0.7765 0.7004
12 Tc 0.0755 0.2235 0.2996
13 Tc 0.2761 0.4241 0.7004
14 Tc 0.7756 0.0747 0.8519
15 Tc 0.7231 0.5760 0.2996
16 Tc 0.2492 0.7496 0.4995

## Properties
- DFT formation energy (eV/f.u.) = -1.5
- E above lowest polymorph (meV per atom) = 0
- calculated density (g/cm³) = 8.9
- crystal system = tetragonal

***

[2]
The following is a PBE calculation of an optimized crystal structure of Be3Tc, from Alexandria.

Cell lengths 7.8277, 7.8277, 7.8277 Å; angles 18.92, 18.92, 18.92 degrees
Fractional coordinates of all 4 atoms:
1 Be 0.2462 0.2462 0.2462
2 Be 0.7538 0.7538 0.7538
3 Be 0.5000 0.5000 0.5000
4 Tc 0.0000 0.0000 0.0000

## Properties
- DFT formation energy (eV/f.u.) = 1.2
- E above lowest polymorph (meV per atom) = 615
- calculated density (g/cm³) = 4.7
- crystal system = trigonal

***

[3]
The following is a PBE calculation of an optimized crystal structure of BeTc, from Alexandria.

Cell lengths 4.7080, 4.7080, 5.7439 Å; angles 69.96, 69.96, 36.22 degrees
Fractional coordinates of all 6 atoms:
1 Tc 0.6936 0.6936 0.0878
2 Tc 0.3611 0.3611 0.2777
3 Tc 0.0284 0.0284 0.4680
4 Be 0.3610 0.3610 0.7782
5 Be 0.6997 0.6997 0.6368
6 Be 0.0228 0.0228 0.9181

## Properties
- DFT formation energy (eV/f.u.) = 0.0
- E above lowest polymorph (meV per atom) = 216
- calculated density (g/cm³) = 7.6
- crystal system = monoclinic

***

[4]
The following is a PBE calculation of an optimized crystal structure of Be3Tc, from Alexandria.

Cell lengths 3.4877, 4.6015, 4.6779 Å; angles 90.00, 90.00, 90.00 degrees
Fractional coordinates of all 8 atoms:
1 Be 0.0000 0.8661 0.2375
2 Be 0.5000 0.1339 0.7375
3 Be 0.5000 0.7372 0.0000
4 Be 0.0000 0.2628 0.5000
5 Be 0.5000 0.1339 0.2625
6 Be 0.0000 0.8661 0.7625
7 Tc 0.0000 0.3852 0.0000
8 Tc 0.5000 0.6148 0.5000

## Properties
- DFT formation energy (eV/f.u.) = -1.1
- E above lowest polymorph (meV per atom) = 55
- calculated density (g/cm³) = 5.5
- crystal system = orthorhombic

***

[5]
The following is a PBE calculation of an optimized crystal structure of BeTc, from Alexandria.

Cell lengths 4.5382, 4.5579, 8.6389 Å; angles 90.00, 90.00, 90.00 degrees
Fractional coordinates of all 16 atoms:
1 Be 0.8829 0.8732 0.7281
2 Be 0.6171 0.1268 0.2281
3 Be 0.6431 0.3755 0.4287
4 Be 0.1171 0.3732 0.7719
5 Be 0.3829 0.6268 0.2719
6 Be 0.8569 0.6245 0.9287
7 Be 0.1431 0.1245 0.5713
8 Be 0.3569 0.8755 0.0713
9 Tc 0.8774 0.1194 0.9902
10 Tc 0.6211 0.3665 0.7032
11 Tc 0.3789 0.8665 0.7968
12 Tc 0.8789 0.6335 0.2032
13 Tc 0.6226 0.8806 0.4902
14 Tc 0.3774 0.3806 0.0098
15 Tc 0.1211 0.1335 0.2968
16 Tc 0.1226 0.6194 0.5098

## Properties
- DFT formation energy (eV/f.u.) = -0.4
- E above lowest polymorph (meV per atom) = 19
- calculated density (g/cm³) = 8.0
- crystal system = orthorhombic

***

[6]
The following is a PBE calculation of an optimized crystal structure of Be3Tc, from Alexandria.

Cell lengths 2.5854, 2.5854, 7.4703 Å; angles 90.00, 90.00, 120.00 degrees
Fractional coordinates of all 4 atoms:
1 Be 0.6667 0.3333 0.2500
2 Be 0.0000 0.0000 0.4812
3 Be 0.0000 0.0000 0.0188
4 Tc 0.6667 0.3333 0.7500

## Properties
- DFT formation energy (eV/f.u.) = 0.8
- E above lowest polymorph (meV per atom) = 515
- calculated density (g/cm³) = 4.8
- crystal system = hexagonal

***

Q: Which of these has the highest E above lowest polymorph?
A: number 2

***

Q: Which value of DFT formation energy does entry 4 give?
A: -1.1 eV/f.u.

***

Please write out number 4 again, unchanged.
The following is a PBE calculation of an optimized crystal structure of Be3Tc, from Alexandria.

Cell lengths 3.4877, 4.6015, 4.6779 Å; angles 90.00, 90.00, 90.00 degrees
Fractional coordinates of all 8 atoms:
1 Be 0.0000 0.8661 0.2375
2 Be 0.5000 0.1339 0.7375
3 Be 0.5000 0.7372 0.0000
4 Be 0.0000 0.2628 0.5000
5 Be 0.5000 0.1339 0.2625
6 Be 0.0000 0.8661 0.7625
7 Tc 0.0000 0.3852 0.0000
8 Tc 0.5000 0.6148 0.5000

## Properties
- DFT formation energy (eV/f.u.) = -1.1
- E above lowest polymorph (meV per atom) = 55
- calculated density (g/cm³) = 5.5
- crystal system = orthorhombic

***

Repeat the first record exactly.
The following is a PBE calculation of an optimized crystal structure of Be3Tc5, from Alexandria.

Cell lengths 6.8418, 6.8418, 6.8397 Å; angles 96.71, 96.71, 140.00 degrees
Fractional coordinates of all 16 atoms:
1 Be 0.8298 0.3302 0.1604
2 Be 0.7497 0.7499 0.0000
3 Be 0.1693 0.6697 0.8396
4 Be 0.2495 0.2501 0.0000
5 Be 0.3302 0.1695 0.5000
6 Be 0.6691 0.8307 0.5000
7 Tc 0.7500 0.2504 0.5005
8 Tc 0.2236 0.9253 0.1482
9 Tc 0.4249 0.7240 0.1481
10 Tc 0.5743 0.2760 0.8518
11 Tc 0.9236 0.7765 0.7004
12 Tc 0.0755 0.2235 0.2996
13 Tc 0.2761 0.4241 0.7004
14 Tc 0.7756 0.0747 0.8519
15 Tc 0.7231 0.5760 0.2996
16 Tc 0.2492 0.7496 0.4995

## Properties
- DFT formation energy (eV/f.u.) = -1.5
- E above lowest polymorph (meV per atom) = 0
- calculated density (g/cm³) = 8.9
- crystal system = tetragonal